Computed, not measured: an optimized crystal structure of NaReOF2 at the PBE-GGA level of DFT.

abc: 3.8168 3.8168 4.3306
angles: 90.00 90.00 90.00
Positions (direct):
Na (0.0000, 0.0000, 0.0000)
Re (0.5000, 0.5000, 0.5000)
O (0.0000, 0.0000, 0.5000)
F (0.0000, 0.5000, 0.0000)
F (0.5000, 0.0000, 0.0000)

E_form (uncorrected) = -0.188 eV per atom
DFT total energy = -4.68 eV/atom
space group = P4/mmm, No. 123

Computed, not measured: an optimized crystal structure of NaReO2F at the PBE-GGA level of DFT.

abc: 3.8257 3.8257 4.5379
angles: 90.00 90.00 90.00
Positions (direct):
Na (0.0000, 0.0000, 0.0000)
Re (0.5000, 0.5000, 0.5000)
O (0.0000, 0.5000, 0.5000)
O (0.5000, 0.0000, 0.5000)
F (0.5000, 0.5000, 0.0000)

E_form (uncorrected) = -1.616 eV per atom
DFT total energy = -6.73 eV/atom
space group = P4/mmm, No. 123

Computed, not measured: an optimized crystal structure of Na2ReO2F4 at the PBE-GGA level of DFT.

abc: 5.9259 5.9259 4.6806
angles: 103.99 103.99 56.38
Positions (direct):
Na (0.1325, 0.1325, 0.4199)
Na (0.8675, 0.8675, 0.5801)
Re (0.5000, 0.5000, 0.0000)
O (0.3486, 0.3486, 0.7048)
O (0.6514, 0.6514, 0.2952)
F (0.1686, 0.6901, 0.1975)
F (0.3099, 0.8314, 0.8025)
F (0.6901, 0.1686, 0.1975)
F (0.8314, 0.3099, 0.8025)

E_form (uncorrected) = -2.168 eV per atom
DFT total energy = -5.78 eV/atom
space group = C2/m, No. 12

Computed, not measured: an optimized crystal structure of NaRhOF2 at the PBE-GGA level of DFT.

abc: 3.9120 3.9120 6.4970
angles: 90.00 90.00 90.00
Positions (direct):
Na (0.0000, 0.0000, 0.0000)
Rh (0.0000, 0.0000, 0.5000)
O (0.5000, 0.5000, 0.0000)
F (0.0000, 0.5000, 0.5000)
F (0.5000, 0.0000, 0.5000)

E_form (uncorrected) = -0.641 eV per atom
DFT total energy = -4.12 eV/atom
space group = P4/mmm, No. 123

Computed, not measured: an optimized crystal structure of NaRhO2F at the PBE-GGA level of DFT.

abc: 4.0725 4.0725 3.9442
angles: 90.00 90.00 90.00
Positions (direct):
Na (0.0000, 0.0000, 0.0000)
Rh (0.5000, 0.5000, 0.5000)
O (0.0000, 0.5000, 0.0000)
O (0.5000, 0.0000, 0.0000)
F (0.0000, 0.0000, 0.5000)

E_form (uncorrected) = 0.408 eV per atom
DFT total energy = -3.68 eV/atom
space group = P4/mmm, No. 123

Computed, not measured: an optimized crystal structure of NaRhOF2 at the PBE-GGA level of DFT.

abc: 3.9743 3.9743 4.2508
angles: 90.00 90.00 90.00
Positions (direct):
Na (0.0000, 0.0000, 0.0000)
Rh (0.5000, 0.5000, 0.5000)
O (0.0000, 0.0000, 0.5000)
F (0.0000, 0.5000, 0.0000)
F (0.5000, 0.0000, 0.0000)

E_form (uncorrected) = -0.347 eV per atom
DFT total energy = -3.82 eV/atom
space group = P4/mmm, No. 123

Computed, not measured: an optimized crystal structure of NaRhOF2 at the PBE-GGA level of DFT.

abc: 4.3654 4.3654 3.7476
angles: 90.00 90.00 90.00
Positions (direct):
Na (0.0000, 0.0000, 0.0000)
Rh (0.5000, 0.5000, 0.5000)
O (0.5000, 0.5000, 0.0000)
F (0.0000, 0.5000, 0.5000)
F (0.5000, 0.0000, 0.5000)

E_form (uncorrected) = -1.460 eV per atom
DFT total energy = -4.93 eV/atom
space group = P4/mmm, No. 123

Computed, not measured: an optimized crystal structure of NaRhO2F at the PBE-GGA level of DFT.

abc: 3.8432 3.8432 4.5270
angles: 90.00 90.00 90.00
Positions (direct):
Na (0.0000, 0.0000, 0.0000)
Rh (0.5000, 0.5000, 0.5000)
O (0.0000, 0.5000, 0.5000)
O (0.5000, 0.0000, 0.5000)
F (0.5000, 0.5000, 0.0000)

E_form (uncorrected) = -1.135 eV per atom
DFT total energy = -5.23 eV/atom
space group = P4/mmm, No. 123

Computed, not measured: an optimized crystal structure of NaRuO2F at the PBE-GGA level of DFT.

abc: 4.0576 4.0576 3.8916
angles: 90.00 90.00 90.00
Positions (direct):
Na (0.0000, 0.0000, 0.0000)
Ru (0.5000, 0.5000, 0.5000)
O (0.0000, 0.5000, 0.0000)
O (0.5000, 0.0000, 0.0000)
F (0.0000, 0.0000, 0.5000)

E_form (uncorrected) = 0.351 eV per atom
DFT total energy = -4.13 eV/atom
space group = P4/mmm, No. 123

Computed, not measured: an optimized crystal structure of NaRuO2F at the PBE-GGA level of DFT.

abc: 3.8211 3.8211 4.3969
angles: 90.00 90.00 90.00
Positions (direct):
Na (0.0000, 0.0000, 0.0000)
Ru (0.5000, 0.5000, 0.5000)
O (0.0000, 0.5000, 0.5000)
O (0.5000, 0.0000, 0.5000)
F (0.5000, 0.5000, 0.0000)

E_form (uncorrected) = -1.358 eV per atom
DFT total energy = -5.83 eV/atom
space group = P4/mmm, No. 123

Computed, not measured: an optimized crystal structure of NaSOF2 at the PBE-GGA level of DFT.

abc: 4.0697 4.0697 4.4464
angles: 90.00 90.00 90.00
Positions (direct):
Na (0.0000, 0.0000, 0.0000)
S (0.5000, 0.5000, 0.5000)
O (0.0000, 0.0000, 0.5000)
F (0.0000, 0.5000, 0.0000)
F (0.5000, 0.0000, 0.0000)

E_form (uncorrected) = -0.018 eV per atom
DFT total energy = -2.85 eV/atom
space group = P4/mmm, No. 123

Computed, not measured: an optimized crystal structure of NaSOF2 at the PBE-GGA level of DFT.

abc: 4.4537 4.4537 3.4815
angles: 90.00 90.00 90.00
Positions (direct):
Na (0.0000, 0.0000, 0.0000)
S (0.5000, 0.5000, 0.5000)
O (0.5000, 0.5000, 0.0000)
F (0.0000, 0.5000, 0.5000)
F (0.5000, 0.0000, 0.5000)

E_form (uncorrected) = -1.215 eV per atom
DFT total energy = -4.04 eV/atom
space group = P4/mmm, No. 123